# CaLaNd

A relaxed CaLaNd crystal (GGA-PBE, Alexandria).

Symmetry: No. 51
Raw total energy, eV/atom: -3.749
DOS at the Fermi energy, states/eV/atom: 1.491

a = 6.889 Å, b = 3.601 Å, c = 9.355 Å
α = 90.00°, β = 90.00°, γ = 90.00°
Fractional positions:
Ca 0.250 0.000 0.146
Ca 0.750 0.000 0.854
La 0.250 0.500 0.784
La 0.750 0.500 0.216
Nd 0.000 0.000 0.500
Nd 0.500 0.000 0.500